Pm4YAu5 (GGA-PBE, optimized geometry); formation energy = -0.80 eV per atom; D(E_F) = 0.54 states/eV/atom; crystal system = tetragonal; magnetization = 0.00 μB/atom
1.0
3.6501 0.0000 0.0000
0.0000 3.6501 0.0000
0.0000 0.0000 18.6335
Pm Y Au
4 1 5
Cartesian
0.0000 0.0000 1.8761 Pm
0.0000 0.0000 5.6360 Pm
0.0000 0.0000 12.9975 Pm
0.0000 0.0000 16.7574 Pm
0.0000 0.0000 9.3168 Y
1.8250 1.8250 0.0000 Au
1.8250 1.8250 3.7555 Au
1.8250 1.8250 7.5649 Au
1.8250 1.8250 11.0686 Au
1.8250 1.8250 14.8780 Au